(1)
Material: YCd2Hg
Method: DFT, PBE
State: relaxed

Properties
Its formation energy is -0.90 eV/f.u. The calculation puts the total magnetic moment at 0.0 μB per formula unit. The energy is -2.37 eV/atom.

a = 3.3915 Å, b = 5.0278 Å, c = 5.8650 Å
α = 90.00°, β = 90.33°, γ = 90.00°
Closest atoms and distances in Å follow each position.
Element x y z (fractional)
Y 0.0000 0.0000 0.0000  8 Cd 3.35, 4 Hg 3.38-3.40, 2 Y 3.39
Cd 0.4964 0.5000 0.7563  2 Cd 2.86-3.01, 2 Hg 2.93
Cd 0.5036 0.5000 0.2437  2 Cd 2.86-3.01, 2 Hg 2.93
Hg 0.5000 0.0000 0.5000  4 Cd 2.93


(2)
Material: DyScGa
Method: DFT, PBE
State: relaxed

Properties
Its formation energy is -1.36 eV/f.u. The calculation puts the total magnetic moment at 1.0 μB per formula unit. The energy is -5.11 eV/atom. The value obtained for the energy above the most stable polymorph in this dataset is 0 meV/atom.

a = 7.6548 Å, b = 7.6548 Å, c = 4.2349 Å
α = 90.00°, β = 90.00°, γ = 120.00°
Closest atoms and distances in Å follow each position.
Element x y z (fractional)
Dy 0.0000 0.4058 0.0000  5 Ga 3.11-3.14, 6 Sc 3.35-3.45
Dy 0.4058 0.0000 0.0000  5 Ga 3.11-3.14, 6 Sc 3.35-3.45
Dy 0.5942 0.5942 0.0000  5 Ga 3.11-3.14, 6 Sc 3.35-3.45
Sc 0.0000 0.7444 0.5000  4 Ga 2.88-2.90
Sc 0.2556 0.2556 0.5000  4 Ga 2.88-2.90
Sc 0.7444 0.0000 0.5000  4 Ga 2.88-2.90
Ga 0.0000 0.0000 0.0000  6 Sc 2.88, 3 Dy 3.11
Ga 0.3333 0.6667 0.5000  3 Sc 2.90, 6 Dy 3.14
Ga 0.6667 0.3333 0.5000  3 Sc 2.90, 6 Dy 3.14